First-principles (GGA+U) data for a geometry-optimized TmMg2MoO6 structure, as listed in Alexandria.

Cell lengths 5.294, 5.328, 5.680 Å; angles 62.13, 62.96, 60.74 degrees
Space group P1 (No. 1)
Inequivalent atoms, fractional coordinates:
Tm 0.000 0.000 0.000 (multiplicity 1)
Mg 0.212 0.206 0.361 (multiplicity 1)
Mg 0.710 0.722 0.854 (multiplicity 1)
Mo 0.504 0.516 0.470 (multiplicity 1)
O 0.117 0.791 0.664 (multiplicity 1)
O 0.318 0.588 0.191 (multiplicity 1)
O 0.402 0.130 0.670 (multiplicity 1)
O 0.582 0.905 0.181 (multiplicity 1)
O 0.762 0.424 0.670 (multiplicity 1)
O 0.893 0.323 0.186 (multiplicity 1)

## Properties
energy: -7.01 eV/atom